A relaxed Ce2TiCo4As3 crystal. Source: Alexandria via LeMat-Bulk, functional PBE.

Calculated values
SG ... P-4m2 (115)
Density of states at the Fermi level ... 1.292 states/eV/atom
ΔE_f ... -0.75 eV per atom

Lattice parameters (Å, degrees): 4.0177 4.0177 9.9281 90.00 90.00 90.00
Element x y z (fractional)
Ti1 0.5000 0.5000 0.5000
Ce1 0.0000 0.5000 0.7565
Ce2 0.5000 0.0000 0.2435
Co1 0.5000 0.0000 0.6343
Co2 0.0000 0.5000 0.3657
Co3 0.0000 0.0000 0.0000
Co4 0.5000 0.5000 0.0000
As1 0.0000 0.0000 0.5000
As2 0.5000 0.0000 0.8706
As3 0.0000 0.5000 0.1294



A relaxed KZnRu2 crystal. Source: Alexandria via LeMat-Bulk, functional PBE.

Calculated values
SG ... Cmmm (65)
Density of states at the Fermi level ... 0.808 states/eV/atom
ΔE_f ... 0.72 eV per atom

Lattice parameters (Å, degrees): 2.7429 2.7429 10.0527 90.00 90.00 116.78
Element x y z (fractional)
K1 0.5000 0.5000 0.7500
Ru1 0.0000 0.0000 0.4647
Ru2 0.0000 0.0000 0.0353
Zn1 0.5000 0.5000 0.2500



A relaxed SbOs2W crystal. Source: Alexandria via LeMat-Bulk, functional PBE.

Calculated values
SG ... R-3m (166)
ΔE_f (raw) ... 1.96 eV/f.u.
Density of states at the Fermi level ... 1.443 states/eV/atom

Lattice parameters (Å, degrees): 8.8473 8.8473 8.8473 19.38 19.38 19.38
Element x y z (fractional)
Sb1 0.2500 0.2500 0.2500
Os1 0.0036 0.0036 0.0036
Os2 0.4964 0.4964 0.4964
W1 0.7500 0.7500 0.7500



A relaxed La8Cu2Au crystal. Source: Alexandria via LeMat-Bulk, functional PBE.

Calculated values
SG ... C2/m (12)
Density of states at the Fermi level ... 1.016 states/eV/atom
ΔE_f ... -0.19 eV per atom

Lattice parameters (Å, degrees): 5.2939 7.0913 9.8017 107.44 105.67 90.00
Element x y z (fractional)
Au1 0.5000 0.0000 0.0000
La1 0.4092 0.5273 0.8184
La2 0.8022 0.6529 0.6043
La3 0.6742 0.0044 0.3483
La4 0.3258 0.9956 0.6517
La5 0.1978 0.3471 0.3957
La6 0.5908 0.4727 0.1816
La7 0.0260 0.7805 0.0521
La8 0.9740 0.2195 0.9479
Cu1 0.8259 0.2624 0.6518
Cu2 0.1741 0.7376 0.3482



A relaxed ZrScTi2C crystal. Source: Alexandria via LeMat-Bulk, functional PBE.

Calculated values
E above lowest polymorph ... 0 meV/atom
SG ... P4/mmm (123)
Density of states at the Fermi level ... 1.531 states/eV/atom
ΔE_f ... -0.24 eV per atom

Lattice parameters (Å, degrees): 4.2895 4.2895 4.6981 90.00 90.00 90.00
Element x y z (fractional)
Zr1 0.0000 0.0000 0.5000
Ti1 0.5000 0.0000 0.0000
Ti2 0.0000 0.5000 0.0000
Sc1 0.5000 0.5000 0.5000
C1 0.0000 0.0000 0.0000



A relaxed SrPr2Ge crystal. Source: Alexandria via LeMat-Bulk, functional PBE.

Calculated values
E above lowest polymorph ... 6 meV/atom
SG ... R-3m (166)
Density of states at the Fermi level ... 1.325 states/eV/atom
ΔE_f ... -0.28 eV per atom

Lattice parameters (Å, degrees): 4.2379 4.2379 10.7354 78.62 78.62 60.00
Element x y z (fractional)
Pr1 0.7199 0.7199 0.8402
Pr2 0.2801 0.2801 0.1598
Sr1 0.5000 0.5000 0.5000
Ge1 0.0000 0.0000 0.0000



A relaxed HfV3Ga2 crystal. Source: Alexandria via LeMat-Bulk, functional PBE.

Calculated values
SG ... C2/m (12)
Density of states at the Fermi level ... 0.976 states/eV/atom
ΔE_f ... -0.16 eV per atom

Lattice parameters (Å, degrees): 4.0029 6.7651 8.3637 117.48 90.00 107.21
Element x y z (fractional)
V1 0.3095 0.6191 0.4969
V2 0.4231 0.8461 0.3238
V3 0.9474 0.8948 0.6146
V4 0.0526 0.1052 0.3854
V5 0.5769 0.1539 0.6762
V6 0.6905 0.3809 0.5031
Hf1 0.8535 0.7070 0.9866
Hf2 0.1465 0.2930 0.0134
Ga1 0.4548 0.9095 0.8364
Ga2 0.2137 0.4275 0.7338
Ga3 0.5452 0.0905 0.1636
Ga4 0.7863 0.5725 0.2662



A relaxed SiAg2Cl crystal. Source: Alexandria via LeMat-Bulk, functional PBE.

Calculated values
E above lowest polymorph ... 212 meV/atom
SG ... Immm (71)
ΔE_f (raw) ... 0.92 eV/f.u.
Density of states at the Fermi level ... 0.349 states/eV/atom

Lattice parameters (Å, degrees): 5.5830 5.5830 5.5830 147.77 122.24 67.70
Element x y z (fractional)
Si1 0.7500 0.2500 0.5000
Ag1 0.9757 0.9757 0.0000
Ag2 0.5243 0.5243 0.0000
Cl1 0.2500 0.7500 0.5000



A relaxed DyHoBeAu crystal. Source: Alexandria via LeMat-Bulk, functional PBE.

Calculated values
SG ... F-43m (216)
Density of states at the Fermi level ... 0.959 states/eV/atom
ΔE_f ... -0.34 eV per atom

Lattice parameters (Å, degrees): 4.9807 4.9807 4.9807 60.00 60.00 60.00
Element x y z (fractional)
Be1 0.2500 0.2500 0.2500
Dy1 0.5000 0.5000 0.5000
Au1 0.7500 0.7500 0.7500
Ho1 0.0000 0.0000 0.0000



A relaxed NpNb2W crystal. Source: Alexandria via LeMat-Bulk, functional PBE.

Calculated values
E above lowest polymorph ... 0 meV/atom
SG ... P4/mmm (123)
Density of states at the Fermi level ... 1.547 states/eV/atom
ΔE_f ... 0.27 eV per atom

Lattice parameters (Å, degrees): 3.2444 3.2444 7.0960 90.00 90.00 90.00
Element x y z (fractional)
Nb1 0.0000 0.0000 0.7283
Nb2 0.0000 0.0000 0.2717
W1 0.5000 0.5000 0.5000
Np1 0.5000 0.5000 0.0000



A relaxed La6PmEr4 crystal. Source: Alexandria via LeMat-Bulk, functional PBE.

Calculated values
E above lowest polymorph ... 0 meV/atom
SG ... Cmcm (63)
Density of states at the Fermi level ... 1.711 states/eV/atom
ΔE_f ... 0.10 eV per atom

Lattice parameters (Å, degrees): 5.8971 5.7511 26.3449 90.00 90.00 120.84
Element x y z (fractional)
La1 0.8121 0.6241 0.0959
La2 0.1879 0.3759 0.9041
La3 0.1369 0.2738 0.1810
La4 0.5000 0.0000 0.0000
La5 0.8631 0.7262 0.6810
La6 0.8631 0.7262 0.8190
La7 0.8121 0.6241 0.4041
La8 0.1369 0.2738 0.3190
La9 0.1879 0.3759 0.5959
La10 0.5000 0.0000 0.5000
La11 0.5367 0.0734 0.7500
La12 0.4633 0.9266 0.2500
Er1 0.4720 0.9440 0.3753
Er2 0.1567 0.3134 0.4543
Er3 0.5280 0.0560 0.6247
Er4 0.5280 0.0560 0.8753
Er5 0.8433 0.6866 0.5457
Er6 0.1567 0.3134 0.0457
Er7 0.8433 0.6866 0.9543
Er8 0.4720 0.9440 0.1247
Pm1 0.8026 0.6052 0.2500
Pm2 0.1974 0.3948 0.7500



A relaxed KNa5 crystal. Source: Alexandria via LeMat-Bulk, functional PBE.

Calculated values
E above lowest polymorph ... 0 meV/atom
SG ... Cmmm (65)
Density of states at the Fermi level ... 0.403 states/eV/atom
ΔE_f ... 0.02 eV per atom

Lattice parameters (Å, degrees): 5.6009 5.6172 8.5271 109.23 90.00 90.00
Element x y z (fractional)
Na1 0.5000 0.1770 0.3539
Na2 0.5000 0.8230 0.6461
Na3 0.0000 0.3242 0.6483
Na4 0.0000 0.6758 0.3517
Na5 0.5000 0.5000 0.0000
K1 0.0000 0.0000 0.0000



A relaxed Pr8Ge4Cl3 crystal. Source: Alexandria via LeMat-Bulk, functional PBE.

Calculated values
SG ... C2/m (12)
ΔE_f (raw) ... -16.41 eV/f.u.
Density of states at the Fermi level ... 0.559 states/eV/atom

Lattice parameters (Å, degrees): 8.5337 8.4980 8.4980 90.39 120.05 120.05
Element x y z (fractional)
Ge1 0.0000 0.0000 0.0000
Ge2 0.5000 0.0000 0.0000
Ge3 0.0000 0.0000 0.5000
Ge4 0.0000 0.5000 0.0000
Pr1 0.0000 0.2464 0.7536
Pr2 0.4896 0.2386 0.2386
Pr3 0.9962 0.2500 0.2500
Pr4 0.0000 0.7536 0.2464
Pr5 0.5000 0.2432 0.7568
Pr6 0.5104 0.7614 0.7614
Pr7 0.5000 0.7568 0.2432
Pr8 0.0038 0.7500 0.7500
Cl1 0.5000 0.0000 0.5000
Cl2 0.5000 0.5000 0.5000
Cl3 0.5000 0.5000 0.0000



A relaxed Ce2Si2Hg crystal. Source: Alexandria via LeMat-Bulk, functional PBE.

Calculated values
SG ... P4/mbm (127)
ΔE_f (raw) ... -2.72 eV/f.u.
Density of states at the Fermi level ... 2.084 states/eV/atom

Lattice parameters (Å, degrees): 4.2052 7.4177 7.4177 90.00 90.00 90.00
Element x y z (fractional)
Ce1 0.5000 0.3188 0.1812
Ce2 0.5000 0.8188 0.3188
Ce3 0.5000 0.6812 0.8188
Ce4 0.5000 0.1812 0.6812
Si1 0.0000 0.6120 0.1120
Si2 0.0000 0.8880 0.6120
Si3 0.0000 0.3880 0.8880
Si4 0.0000 0.1120 0.3880
Hg1 0.0000 0.5000 0.5000
Hg2 0.0000 0.0000 0.0000



A relaxed CeNdGaNi crystal. Source: Alexandria via LeMat-Bulk, functional PBE.

Calculated values
SG ... F-43m (216)
Density of states at the Fermi level ... 1.802 states/eV/atom
ΔE_f ... -0.28 eV per atom

Lattice parameters (Å, degrees): 5.0713 5.0713 5.0713 60.00 60.00 60.00
Element x y z (fractional)
Nd1 0.0000 0.0000 0.0000
Ga1 0.2500 0.2500 0.2500
Ni1 0.7500 0.7500 0.7500
Ce1 0.5000 0.5000 0.5000



A relaxed P2OsPdS crystal. Source: Alexandria via LeMat-Bulk, functional PBE.

Calculated values
E above lowest polymorph ... 705 meV/atom
SG ... P4/mmm (123)
ΔE_f (raw) ... 7.45 eV/f.u.
Density of states at the Fermi level ... 0.998 states/eV/atom

Lattice parameters (Å, degrees): 4.5066 4.5066 4.5958 90.00 90.00 90.00
Element x y z (fractional)
P1 0.5000 0.0000 0.0000
P2 0.0000 0.5000 0.0000
Os1 0.5000 0.5000 0.5000
S1 0.0000 0.0000 0.5000
Pd1 0.0000 0.0000 0.0000



A relaxed TbYSc2 crystal. Source: Alexandria via LeMat-Bulk, functional PBE.

Calculated values
E above lowest polymorph ... 0 meV/atom
SG ... Pnma (62)
Density of states at the Fermi level ... 1.903 states/eV/atom
ΔE_f ... 0.04 eV per atom

Lattice parameters (Å, degrees): 5.4032 6.0310 13.9369 90.00 90.00 90.00
Element x y z (fractional)
Sc1 0.7500 0.9219 0.6909
Sc2 0.7500 0.9219 0.9356
Sc3 0.7500 0.4219 0.8091
Sc4 0.2500 0.5781 0.1909
Sc5 0.7500 0.4219 0.5644
Sc6 0.2500 0.0781 0.3091
Sc7 0.2500 0.0781 0.0644
Sc8 0.2500 0.5781 0.4356
Tb1 0.7500 0.9097 0.1850
Tb2 0.2500 0.5903 0.6850
Tb3 0.2500 0.0903 0.8150
Tb4 0.7500 0.4097 0.3150
Y1 0.7500 0.4094 0.0616
Y2 0.2500 0.5906 0.9384
Y3 0.7500 0.9094 0.4384
Y4 0.2500 0.0906 0.5616



A relaxed UTl2Ni2Se4 crystal. Source: Alexandria via LeMat-Bulk, functional PBE.

Calculated values
SG ... C2/m (12)
ΔE_f (raw) ... -5.58 eV/f.u.
Density of states at the Fermi level ... 0.563 states/eV/atom

Lattice parameters (Å, degrees): 3.9415 8.1358 7.4120 107.00 105.42 90.00
Element x y z (fractional)
Tl1 0.8595 0.4235 0.7190
Tl2 0.1405 0.5765 0.2810
Ni1 0.6815 0.9921 0.3630
Ni2 0.3185 0.0079 0.6370
Se1 0.1992 0.1670 0.3984
Se2 0.8008 0.8330 0.6016
Se3 0.5240 0.7695 0.0481
Se4 0.4760 0.2305 0.9519
U1 0.0000 0.0000 0.0000



A relaxed Ag12Pd2Pt crystal. Source: Alexandria via LeMat-Bulk, functional PBE.

Calculated values
SG ... P4/nbm (125)
Density of states at the Fermi level ... 0.169 states/eV/atom
ΔE_f ... 0.29 eV per atom

Lattice parameters (Å, degrees): 5.4885 5.4885 19.7051 90.00 90.00 90.00
Element x y z (fractional)
Ag1 0.3246 0.8246 0.4361
Ag2 0.2501 0.2499 0.0991
Ag3 0.5000 0.5000 0.2044
Ag4 0.8246 0.6754 0.4361
Ag5 0.0000 0.0000 0.6625
Ag6 0.7499 0.7501 0.0991
Ag7 0.7501 0.7499 0.9009
Ag8 0.1754 0.6754 0.5639
Ag9 0.5000 0.5000 0.6625
Ag10 0.6754 0.1754 0.4361
Ag11 0.6754 0.8246 0.5639
Ag12 0.3246 0.1754 0.5639
Ag13 0.0000 0.0000 0.3375
Ag14 0.0000 0.0000 0.7956
Ag15 0.2499 0.7499 0.0991
Ag16 0.8246 0.3246 0.5639
Ag17 0.5000 0.5000 0.7956
Ag18 0.7499 0.2499 0.9009
Ag19 0.0000 0.0000 0.2044
Ag20 0.7501 0.2501 0.0991
Ag21 0.2499 0.2501 0.9009
Ag22 0.1754 0.3246 0.4361
Ag23 0.5000 0.5000 0.3375
Ag24 0.2501 0.7501 0.9009
Pt1 0.5000 0.0000 0.0000
Pt2 0.0000 0.5000 0.0000
Pd1 0.0000 0.5000 0.2949
Pd2 0.5000 0.0000 0.7051
Pd3 0.5000 0.0000 0.2949
Pd4 0.0000 0.5000 0.7051



A relaxed Ta5Os crystal. Source: Alexandria via LeMat-Bulk, functional PBE.

Calculated values
E above lowest polymorph ... 0 meV/atom
SG ... C2/m (12)
Density of states at the Fermi level ... 0.759 states/eV/atom
ΔE_f ... -0.21 eV per atom

Lattice parameters (Å, degrees): 3.2581 5.4418 6.5318 71.88 90.00 107.42
Element x y z (fractional)
Ta1 0.6908 0.3816 0.1085
Ta2 0.6918 0.3836 0.6166
Ta3 0.3638 0.7275 0.2723
Ta4 0.0278 0.0555 0.4444
Ta5 0.3647 0.7295 0.7804
Os1 0.0278 0.0556 0.9444



no.,magnetic moment (μB per atom)
1,0.088
2,0.001
3,0.000
4,0.000
5,0.000
6,0.061
7,0.000
8,0.000
9,0.000
10,0.865
11,0.000
12,0.000
13,0.000
14,0.253
15,0.108
16,0.104
17,0.000
18,0.073
19,0.000
20,0.000